{"formula": "FeMoC2", "functional": "PBE-GGA", "state": "optimized geometry", "crystal_system": "cubic", "energy_ev_per_atom": -8.550, "ef_ev_per_atom": 0.886, "spacegroup": "Fm-3m", "lattice_angstrom": [[0.000, 2.622, 2.622], [2.622, 0.000, 2.622], [2.622, 2.622, 0.000]], "species": ["C", "C", "Mo", "Fe"], "fractional_positions": [[0.250, 0.250, 0.250], [0.750, 0.750, 0.750], [0.500, 0.500, 0.500], [0.000, 0.000, 0.000]]}

{"formula": "Ti3Zn3Ga", "functional": "PBE-GGA", "state": "optimized geometry", "crystal_system": "cubic", "energy_ev_per_atom": -4.466, "ef_ev_per_atom": -0.104, "spacegroup": "Fd-3m", "lattice_angstrom": [[-6.429, 2.843, 5.204], [-4.240, -5.625, 5.184], [1.188, 0.287, 8.660]], "species": ["Ti", "Ti", "Ti", "Ti", "Ti", "Ti", "Ti", "Ti", "Ti", "Ti", "Ti", "Ti", "Zn", "Zn", "Zn", "Zn", "Zn", "Zn", "Zn", "Zn", "Zn", "Zn", "Zn", "Zn", "Ga", "Ga", "Ga", "Ga"], "fractional_positions": [[0.021, 0.479, 0.021], [0.229, 0.229, 0.771], [0.771, 0.771, 0.229], [0.771, 0.229, 0.771], [0.771, 0.229, 0.229], [0.229, 0.771, 0.771], [0.479, 0.021, 0.021], [0.021, 0.021, 0.479], [0.479, 0.479, 0.021], [0.021, 0.479, 0.479], [0.229, 0.771, 0.229], [0.479, 0.021, 0.479], [0.845, 0.845, 0.845], [0.405, 0.405, 0.786], [0.405, 0.786, 0.405], [0.786, 0.405, 0.405], [0.845, 0.464, 0.845], [0.464, 0.845, 0.845], [0.845, 0.845, 0.464], [0.405, 0.405, 0.405], [0.625, 0.625, 0.625], [0.625, 0.625, 0.125], [0.625, 0.125, 0.625], [0.125, 0.625, 0.625], [0.125, 0.125, 0.125], [0.125, 0.125, 0.625], [0.125, 0.625, 0.125], [0.625, 0.125, 0.125]]}

{"formula": "Ca2HgBiSb", "functional": "PBE-GGA", "state": "optimized geometry", "crystal_system": "monoclinic", "energy_ev_per_atom": -3.146, "formation_energy_uncorrected_ev_per_fu": -3.42, "spacegroup": "P2_1/m", "lattice_angstrom": [[-0.614, -2.862, 3.732], [7.538, 0.849, 1.890], [-1.924, 6.587, 4.735]], "species": ["Ca", "Ca", "Ca", "Ca", "Hg", "Hg", "Bi", "Bi", "Sb", "Sb"], "fractional_positions": [[0.750, 0.778, 0.524], [0.750, 0.779, 0.976], [0.250, 0.222, 0.476], [0.250, 0.221, 0.024], [0.250, 0.570, 0.751], [0.750, 0.430, 0.249], [0.250, 0.654, 0.250], [0.750, 0.346, 0.750], [0.250, 0.937, 0.750], [0.750, 0.063, 0.250]]}

{"formula": "MgZnCu2F", "functional": "PBE-GGA", "state": "optimized geometry", "crystal_system": "tetragonal", "energy_ev_per_atom": -2.680, "formation_energy_uncorrected_ev_per_fu": -0.47, "spacegroup": "P4/mmm", "lattice_angstrom": [[-2.366, -1.350, 3.785], [3.484, -0.360, 2.049], [-0.346, 4.445, 1.369]], "species": ["Zn", "Mg", "Cu", "Cu", "F"], "fractional_positions": [[0.000, 0.000, 0.000], [0.500, 0.500, 0.500], [0.000, 0.000, 0.500], [0.500, 0.000, 0.000], [0.000, 0.500, 0.000]]}